Entry 1:
Density functional theory data (PBE) for an optimized crystal structure of V3CrOs2.

Summary:
Its magnetization is 0.000 μB per formula unit. The value obtained for the formation energy is -1.7 eV/f.u. As for the space group: P4/mmm.

```
V3CrOs2
1.0
2.9717 0.0000 0.0000
0.0000 2.9717 0.0000
0.0000 0.0000 9.0381
V Cr Os
3 1 2
Direct
0.0000 0.0000 0.0000
0.0000 0.0000 0.3452
0.0000 0.0000 0.6548
0.5000 0.5000 0.5000
0.5000 0.5000 0.1719
0.5000 0.5000 0.8281
```



Entry 2:
Density functional theory data (PBE) for an optimized crystal structure of VCr8Os2.

Summary:
Its magnetization is 0.000 μB per formula unit. The value obtained for the formation energy is 10.0 eV/f.u. As for the space group: P4/mmm.

```
VCr8Os2
1.0
5.5678 0.0000 0.0000
0.0000 5.5678 0.0000
0.0000 0.0000 5.2366
V Cr Os
1 8 2
Direct
0.0000 0.0000 0.0000
0.2710 0.2710 0.2104
0.2710 0.2710 0.7896
0.2710 0.7290 0.2104
0.2710 0.7290 0.7896
0.7290 0.2710 0.2104
0.7290 0.2710 0.7896
0.7290 0.7290 0.2104
0.7290 0.7290 0.7896
0.0000 0.5000 0.5000
0.5000 0.0000 0.5000
```